[1]
Entry from OQMD via LeMat-Bulk: an optimized crystal structure of ZnN (PBE).

abc: 5.484 3.116 5.289
angles: 90.00 90.00 90.00
Fractional positions:
Zn  0.000  0.000  0.000
Zn  0.250  0.500  0.481
Zn  0.500  0.000  0.000
Zn  0.750  0.500  0.519
N  0.250  0.000  0.270
N  0.250  0.500  0.836
N  0.750  0.000  0.730
N  0.750  0.500  0.164

Calculated values
Energy above the lowest structure with this stoichiometry: 17.89 kJ per mole of atoms

[2]
Entry from OQMD via LeMat-Bulk: an optimized crystal structure of PmTePO (PBE).

abc: 4.618 4.618 7.762
angles: 90.00 90.00 90.00
Fractional positions:
Pm  0.250  0.250  0.099
Pm  0.750  0.750  0.901
Te  0.250  0.750  0.500
Te  0.750  0.250  0.500
P  0.250  0.250  0.687
P  0.750  0.750  0.313
O  0.250  0.750  0.000
O  0.750  0.250  0.000

Calculated values
Magnetic moment: 0.0 μB per cell
Energy above the lowest structure with this stoichiometry: 13.54 kJ per mole of atoms

[3]
Entry from OQMD via LeMat-Bulk: an optimized crystal structure of Ta2Zn2Re (PBE).

abc: 4.362 4.362 11.756
angles: 90.00 90.00 120.00
Fractional positions:
Ta  0.333  0.667  0.079
Ta  0.333  0.667  0.421
Ta  0.667  0.333  0.579
Ta  0.667  0.333  0.921
Zn  0.333  0.667  0.652
Zn  0.333  0.667  0.848
Zn  0.667  0.333  0.152
Zn  0.667  0.333  0.348
Re  0.000  0.000  0.000
Re  0.000  0.000  0.500

Calculated values
DFT formation energy: 0.557 eV/atom
Magnetic moment: 0.0 μB per cell

[4]
Entry from OQMD via LeMat-Bulk: an optimized crystal structure of Pr3BiS2 (PBE).

abc: 4.276 4.276 10.502
angles: 90.00 90.00 120.00
Fractional positions:
Pr  0.000  0.000  0.000
Pr  0.333  0.667  0.303
Pr  0.667  0.333  0.697
Bi  0.000  0.000  0.500
S  0.333  0.667  0.847
S  0.667  0.333  0.153

Calculated values
E_tot: -36.38 eV per cell
Magnetic moment: 0.0 μB per cell